[1]
Zn11InAu: optimized geometry, PBE-GGA.

abc: 5.354 6.844 6.920
angles: 82.06 67.24 69.06
Sites, in units of the cell vectors:
Zn 0.500 0.000 0.500
Zn 0.015 0.352 0.644
Zn 0.272 0.218 0.228
Zn 0.341 0.648 0.644
Zn 0.659 0.352 0.356
Zn 0.985 0.648 0.356
Zn 0.500 0.782 0.228
Zn 0.000 0.500 0.000
Zn 0.728 0.782 0.772
Zn 0.500 0.218 0.772
Zn 0.000 0.000 0.500
Au 0.500 0.500 0.000
In 0.000 0.000 0.000

Properties
The symmetry is C2/m. Its formation energy is 0.014 eV/atom. The density of states at the Fermi level comes out at 4.8 states/eV per cell.

---

[2]
ZnIn2Au: optimized geometry, PBE-GGA.

abc: 4.667 4.667 6.046
angles: 78.30 78.30 43.11
Sites, in units of the cell vectors:
Zn 0.750 0.750 0.750
In 0.998 0.998 0.004
In 0.502 0.502 0.496
Au 0.250 0.250 0.250

Properties
The symmetry is C2/m. Its formation energy is -0.031 eV/atom. The density of states at the Fermi level comes out at 1.0 states/eV per cell.

---

[3]
Zn3InAu12: optimized geometry, PBE-GGA.

abc: 4.069 4.069 17.103
angles: 90.00 90.00 90.00
Sites, in units of the cell vectors:
Au 0.500 0.000 0.378
Au 0.000 0.500 0.134
Au 0.500 0.000 0.866
Au 0.500 0.000 0.622
Au 0.500 0.500 0.744
Au 0.000 0.500 0.622
Au 0.500 0.500 0.256
Au 0.500 0.500 0.500
Au 0.000 0.500 0.866
Au 0.000 0.500 0.378
Au 0.500 0.000 0.134
Au 0.500 0.500 0.000
In 0.000 0.000 0.000
Zn 0.000 0.000 0.745
Zn 0.000 0.000 0.500
Zn 0.000 0.000 0.255

Properties
The symmetry is P4/mmm. Its formation energy is -0.107 eV/atom. The density of states at the Fermi level comes out at 4.6 states/eV per cell.

---

[4]
ZnIn2Au: optimized geometry, PBE-GGA.

abc: 5.433 5.433 5.433
angles: 132.93 132.93 68.77
Sites, in units of the cell vectors:
In 0.250 0.750 0.500
In 0.000 0.000 0.000
Au 0.750 0.250 0.500
Zn 0.500 0.500 0.000

Properties
The symmetry is I-4m2. Its formation energy is 0.012 eV/atom. The density of states at the Fermi level comes out at 1.7 states/eV per cell.

---

[5]
ZnInAu4: optimized geometry, PBE-GGA.

abc: 5.569 5.569 5.569
angles: 60.00 60.00 60.00
Sites, in units of the cell vectors:
Au 0.375 0.876 0.375
Au 0.876 0.375 0.375
Au 0.375 0.375 0.876
Au 0.375 0.375 0.375
In 0.750 0.750 0.750
Zn 0.000 0.000 0.000

Properties
The symmetry is F-43m. Its formation energy is 0.012 eV/atom. The density of states at the Fermi level comes out at 2.2 states/eV per cell. The distance to the lowest polymorph of the same formula is 143 meV per atom.

---

[6]
ZnIn2Au2: optimized geometry, PBE-GGA.

abc: 7.783 7.783 3.666
angles: 90.00 90.00 90.00
Sites, in units of the cell vectors:
In 0.331 0.831 0.000
In 0.669 0.169 0.000
In 0.831 0.669 0.000
In 0.169 0.331 0.000
Au 0.868 0.368 0.500
Au 0.132 0.632 0.500
Au 0.368 0.132 0.500
Au 0.632 0.868 0.500
Zn 0.000 0.000 0.000
Zn 0.500 0.500 0.000

Properties
The symmetry is P4/mbm. Its formation energy is 0.028 eV/atom. The density of states at the Fermi level comes out at 4.2 states/eV per cell. The distance to the lowest polymorph of the same formula is 198 meV per atom.

---

[7]
ZnInAu: optimized geometry, PBE-GGA.

abc: 3.265 3.265 6.498
angles: 90.00 90.00 120.00
Sites, in units of the cell vectors:
Au 0.000 0.000 0.981
In 0.333 0.667 0.332
Zn 0.667 0.333 0.687

Properties
The symmetry is P3m1. Its formation energy is -0.050 eV/atom. The density of states at the Fermi level comes out at 0.3 states/eV per cell.

---

[8]
ZnIn2Au: optimized geometry, PBE-GGA.

abc: 4.359 4.805 4.095
angles: 90.00 90.00 90.00
Sites, in units of the cell vectors:
Zn 0.500 0.000 0.500
In 0.000 0.000 0.000
In 0.500 0.500 0.000
Au 0.000 0.500 0.500

Properties
The symmetry is Pmmm. Its formation energy is 0.007 eV/atom. The density of states at the Fermi level comes out at 1.4 states/eV per cell.

---

[9]
Zn2InAu6: optimized geometry, PBE-GGA.

abc: 4.617 8.777 8.777
angles: 113.33 90.67 90.67
Sites, in units of the cell vectors:
Zn 0.500 0.341 0.159
Zn 0.000 0.159 0.341
Zn 0.000 0.841 0.659
Zn 0.500 0.659 0.841
Au 0.997 0.528 0.671
Au 0.003 0.829 0.972
Au 0.750 0.087 0.587
Au 0.503 0.329 0.472
Au 0.003 0.472 0.329
Au 0.997 0.171 0.028
Au 0.497 0.028 0.171
Au 0.750 0.413 0.913
Au 0.497 0.671 0.528
Au 0.250 0.913 0.413
Au 0.503 0.972 0.829
Au 0.250 0.587 0.087
In 0.250 0.250 0.750
In 0.750 0.750 0.250

Properties
The symmetry is C2/m. Its formation energy is -0.133 eV/atom. The density of states at the Fermi level comes out at 3.3 states/eV per cell. The distance to the lowest polymorph of the same formula is 0 meV per atom.

---

[10]
Zr2InAu2: optimized geometry, PBE-GGA.

abc: 8.118 8.118 3.326
angles: 90.00 90.00 90.00
Sites, in units of the cell vectors:
Zr 0.166 0.334 0.000
Zr 0.834 0.666 0.000
Zr 0.666 0.166 0.000
Zr 0.334 0.834 0.000
Au 0.129 0.629 0.500
Au 0.371 0.129 0.500
Au 0.871 0.371 0.500
Au 0.629 0.871 0.500
In 0.500 0.500 0.000
In 0.000 0.000 0.000

Properties
The symmetry is P4/mbm. Its formation energy is -0.269 eV/atom. The density of states at the Fermi level comes out at 12.0 states/eV per cell. The distance to the lowest polymorph of the same formula is 246 meV per atom.

---

[11]
Zr2InAu: optimized geometry, PBE-GGA.

abc: 9.523 9.523 9.523
angles: 20.28 20.28 20.28
Sites, in units of the cell vectors:
Zr 0.998 0.998 0.998
Zr 0.245 0.245 0.245
In 0.755 0.755 0.755
Au 0.502 0.502 0.502

Properties
The symmetry is R3m. Its formation energy is -0.186 eV/atom. The density of states at the Fermi level comes out at 2.3 states/eV per cell.

---

[12]
Zr2InAu: optimized geometry, PBE-GGA.

abc: 4.254 4.254 6.794
angles: 71.76 71.76 60.00
Sites, in units of the cell vectors:
Zr 0.267 0.267 0.200
Zr 0.071 0.071 0.787
Au 0.663 0.663 0.011
In 0.499 0.499 0.503

Properties
The symmetry is R3m. Its formation energy is -0.015 eV/atom. The density of states at the Fermi level comes out at 5.2 states/eV per cell.

---

[13]
ZrInAu2: optimized geometry, PBE-GGA.

abc: 5.063 5.063 5.141
angles: 77.22 77.22 39.98
Sites, in units of the cell vectors:
Au 0.000 0.000 0.021
Au 0.747 0.747 0.737
In 0.494 0.494 0.535
Zr 0.259 0.259 0.208

Properties
The symmetry is Cm. Its formation energy is -0.292 eV/atom. The density of states at the Fermi level comes out at 2.5 states/eV per cell.

---

[14]
Zr3InAu2: optimized geometry, PBE-GGA.

abc: 3.146 3.146 12.498
angles: 90.00 90.00 90.00
Sites, in units of the cell vectors:
In 0.500 0.500 0.500
Zr 0.000 0.000 0.678
Zr 0.000 0.000 0.322
Zr 0.000 0.000 0.000
Au 0.500 0.500 0.162
Au 0.500 0.500 0.838

Properties
The symmetry is P4/mmm. Its formation energy is -0.444 eV/atom. The density of states at the Fermi level comes out at 4.5 states/eV per cell.

---

[15]
ZrInAu: optimized geometry, PBE-GGA.

abc: 5.742 4.729 5.742
angles: 65.69 65.15 65.69
Sites, in units of the cell vectors:
Au 0.775 0.634 0.096
Au 0.102 0.307 0.423
In 0.268 0.642 0.588
In 0.609 0.299 0.931
Zr 0.693 0.970 0.505
Zr 0.184 0.971 0.014

Properties
The symmetry is Immm. Its formation energy is -0.386 eV/atom. The density of states at the Fermi level comes out at 4.8 states/eV per cell.

---

[16]
Zr2In2Au: optimized geometry, PBE-GGA.

abc: 7.265 7.265 4.565
angles: 90.00 90.00 90.00
Sites, in units of the cell vectors:
Au 0.000 0.000 0.000
Au 0.500 0.500 0.000
In 0.346 0.154 0.500
In 0.654 0.846 0.500
In 0.846 0.346 0.500
In 0.154 0.654 0.500
Zr 0.349 0.849 0.000
Zr 0.651 0.151 0.000
Zr 0.849 0.651 0.000
Zr 0.151 0.349 0.000

Properties
The symmetry is P4/mbm. Its formation energy is -0.072 eV/atom. The density of states at the Fermi level comes out at 9.0 states/eV per cell. The distance to the lowest polymorph of the same formula is 150 meV per atom.

---

[17]
Zr2InAu: optimized geometry, PBE-GGA.

abc: 10.065 10.065 10.065
angles: 18.27 18.27 18.27
Sites, in units of the cell vectors:
Zr 0.995 0.995 0.995
Zr 0.505 0.505 0.505
In 0.750 0.750 0.750
Au 0.250 0.250 0.250

Properties
The symmetry is R-3m. Its formation energy is -0.181 eV/atom. The density of states at the Fermi level comes out at 5.4 states/eV per cell.

---

[18]
ZrInAu2: optimized geometry, PBE-GGA.

abc: 9.168 9.168 9.168
angles: 20.79 20.79 20.79
Sites, in units of the cell vectors:
Zr 0.745 0.745 0.745
Au 0.999 0.999 0.999
Au 0.251 0.251 0.251
In 0.505 0.505 0.505

Properties
The symmetry is R3m. Its formation energy is -0.145 eV/atom. The density of states at the Fermi level comes out at 3.3 states/eV per cell.

---

[19]
ZrInAu2: optimized geometry, PBE-GGA.

abc: 3.532 3.160 8.060
angles: 65.28 90.00 90.00
Sites, in units of the cell vectors:
Zr 0.500 0.750 0.750
In 0.500 0.250 0.250
Au 0.000 0.513 0.508
Au 0.000 0.987 0.992

Properties
The symmetry is P2/m. Its formation energy is -0.382 eV/atom. The density of states at the Fermi level comes out at 1.9 states/eV per cell.

---

[20]
Zr2In2Au: optimized geometry, PBE-GGA.

abc: 7.066 7.066 4.439
angles: 90.00 90.00 90.00
Sites, in units of the cell vectors:
Zr 0.663 0.837 0.500
Zr 0.337 0.163 0.500
Zr 0.163 0.663 0.500
Zr 0.837 0.337 0.500
In 0.860 0.640 0.000
In 0.360 0.860 0.000
In 0.140 0.360 0.000
In 0.640 0.140 0.000
Au 0.000 0.000 0.000
Au 0.500 0.500 0.000

Properties
The symmetry is P4/mbm. Its formation energy is -0.222 eV/atom. The density of states at the Fermi level comes out at 4.6 states/eV per cell. The distance to the lowest polymorph of the same formula is 0 meV per atom.

---

[21]
Zr4InAu: optimized geometry, PBE-GGA.

abc: 5.729 5.729 5.729
angles: 60.00 60.00 60.00
Sites, in units of the cell vectors:
In 0.000 0.000 0.000
Zr 0.375 0.375 0.375
Zr 0.375 0.876 0.375
Zr 0.375 0.375 0.876
Zr 0.876 0.375 0.375
Au 0.750 0.750 0.750

Properties
The symmetry is F-43m. Its formation energy is 0.131 eV/atom. The density of states at the Fermi level comes out at 5.6 states/eV per cell. The distance to the lowest polymorph of the same formula is 292 meV per atom.

---

[22]
ZrInAu2: optimized geometry, PBE-GGA.

abc: 8.104 8.104 8.104
angles: 26.02 26.02 26.02
Sites, in units of the cell vectors:
Zr 0.750 0.750 0.750
Au 0.497 0.497 0.497
Au 0.003 0.003 0.003
In 0.250 0.250 0.250

Properties
The symmetry is R-3m. Its formation energy is -0.260 eV/atom. The density of states at the Fermi level comes out at 1.3 states/eV per cell.

---

[23]
Zr2InAu: optimized geometry, PBE-GGA.

abc: 5.317 5.317 5.317
angles: 131.10 131.06 71.69
Sites, in units of the cell vectors:
Zr 0.500 0.500 0.000
Zr 0.000 0.000 0.000
Au 0.750 0.250 0.500
In 0.250 0.750 0.500

Properties
The symmetry is I4/mmm. Its formation energy is -0.402 eV/atom. The density of states at the Fermi level comes out at 3.9 states/eV per cell.

---

[24]
Zr2InAu2: optimized geometry, PBE-GGA.

abc: 7.632 7.632 7.126
angles: 90.00 90.00 90.00
Sites, in units of the cell vectors:
Au 0.629 0.629 0.204
Au 0.871 0.129 0.296
Au 0.371 0.371 0.796
Au 0.129 0.871 0.296
Au 0.371 0.371 0.204
Au 0.871 0.129 0.704
Au 0.129 0.871 0.704
Au 0.629 0.629 0.796
Zr 0.697 0.303 0.000
Zr 0.197 0.197 0.500
Zr 0.146 0.146 0.000
Zr 0.354 0.646 0.500
Zr 0.803 0.803 0.500
Zr 0.646 0.354 0.500
Zr 0.854 0.854 0.000
Zr 0.303 0.697 0.000
In 0.000 0.500 0.250
In 0.500 0.000 0.750
In 0.500 0.000 0.250
In 0.000 0.500 0.750

Properties
The symmetry is P4_2/mnm. Its formation energy is -0.515 eV/atom. The density of states at the Fermi level comes out at 10.0 states/eV per cell. The distance to the lowest polymorph of the same formula is 0 meV per atom.

---

[25]
Zr4In5Au2: optimized geometry, PBE-GGA.

abc: 3.159 7.644 9.912
angles: 94.29 90.00 90.00
Sites, in units of the cell vectors:
In 0.000 0.185 0.160
In 0.000 0.500 0.000
In 0.000 0.815 0.840
In 0.000 0.441 0.694
In 0.000 0.559 0.306
Zr 0.500 0.266 0.444
Zr 0.500 0.169 0.883
Zr 0.500 0.831 0.117
Zr 0.500 0.734 0.556
Au 0.000 0.938 0.363
Au 0.000 0.062 0.637

Properties
The symmetry is P2/m. Its formation energy is -0.368 eV/atom. The density of states at the Fermi level comes out at 6.9 states/eV per cell.